A relaxed structure of CdSiMo2. Source: Alexandria, functional GGA-PBE.

Values from the calculation:
Final energy = -27.47 eV per formula unit
Distance to the lowest polymorph of the same formula = 0.000 eV/atom

a = 3.160 Å, b = 3.160 Å, c = 6.626 Å
α = 90.00°, β = 90.00°, γ = 90.00°
Space group P4/mmm (No. 123)
Asymmetric unit:
Cd 0.000 0.000 0.000 [1 per cell]
Si 0.000 0.000 0.500 [1 per cell]
Mo 0.500 0.500 0.307 [2 per cell]